# Na3Zn4 (GGA-PBE, relaxed)
# E above lowest polymorph = 0.026 eV per atom
# V = 283.48 Å³/cell
data_Na3Zn4
_space_group_name_H-M_alt 'P 63/m'
_space_group_IT_number 176
_space_group_name_Hall '-P 6c'
_cell_length_a 8.2795
_cell_length_b 8.2795
_cell_length_c 4.7744
_cell_angle_alpha 90.00
_cell_angle_beta 90.00
_cell_angle_gamma 120.00
loop_
_atom_site_label
_atom_site_type_symbol
_atom_site_fract_x
_atom_site_fract_y
_atom_site_fract_z
_atom_site_occupancy
Na1 Na 0.0888 0.4568 0.2500 1
Zn1 Zn 0.0485 0.2116 0.7500 1
Zn2 Zn 0.3333 0.6667 0.7500 1